LiMn2Os | Alexandria | PBE | relaxed; magnetization = 0.96 μB/f.u.; E = -7.665 eV per atom; space group = F-43m (216); formation energy = 0.2057 eV per atom
1.0
0.000 2.907 2.907
2.907 0.000 2.907
2.907 2.907 0.000
Li Mn Os
1 2 1
direct
0.000 0.000 0.000
0.250 0.250 0.250
0.500 0.500 0.500
0.750 0.750 0.750